This record from Alexandria describes crystalline TmGaPt2 at its relaxed geometry. The functional is PBE.

Results
ΔE_f = -898 meV per atom
density = 14.592 g/cm3

abc: 4.377 4.377 3.735
angles: 90.00 90.00 90.00
Space group P4/mmm (No. 123)
Symmetry-distinct sites (fractional):
Tm 0.000 0.000 0.000 [1 per cell]
Ga 0.500 0.500 0.000 [1 per cell]
Pt 0.000 0.500 0.500 [2 per cell]